First-principles (GGA-PBE) data for a geometry-optimized Ba2SrLiF structure, as listed in Alexandria.

Unit cell a=6.395 b=6.395 c=4.856 alpha=90.00 beta=90.00 gamma=90.00
Fractional coordinates of all 5 atoms:
Sr1 0.000 0.000 0.500
Li1 0.500 0.500 0.500
Ba1 0.000 0.500 0.000
Ba2 0.500 0.000 0.000
F1 0.000 0.000 0.000

Summary:
Total moment ... 0.000 μB/atom
Mass density ... 3.2 g/cm³
Uncorrected formation energy ... -5.03 eV/f.u.
Density of states at the Fermi level ... 6.2 states/eV/cell